{
  "formula": "Tb2Nd3Er8",
  "functional": "PBE-GGA",
  "state": "optimized geometry",
  "cell": [[-3.292, -0.073, 4.535], [5.724, -3.076, 4.106], [0.322, 10.740, 0.402]],
  "species": ["Er", "Er", "Nd", "Nd", "Er", "Er", "Er", "Er", "Nd", "Tb", "Er", "Tb", "Er"],
  "fractional_positions": [[0.001, 0.670, 0.341], [0.999, 0.330, 0.659], [0.000, 0.293, 0.000], [0.000, 0.707, 0.000], [0.500, 0.819, 0.219], [0.500, 0.400, 0.219], [0.000, 0.865, 0.730], [0.000, 0.135, 0.270], [0.500, 0.000, 0.000], [0.501, 0.759, 0.518], [0.500, 0.600, 0.781], [0.499, 0.241, 0.482], [0.500, 0.181, 0.781]],
  "dos_at_fermi_per_ev_atom": 1.746,
  "e_form_ev_per_atom": 0.254,
  "de_polymorph_ev_per_fu": 3.006
}

{
  "formula": "Tb3Nd2Er5",
  "functional": "PBE-GGA",
  "state": "optimized geometry",
  "cell": [[8.373, 1.571, -3.900], [0.372, 8.475, -4.012], [-1.769, -1.895, 10.806]],
  "species": ["Er", "Er", "Er", "Er", "Tb", "Er", "Tb", "Tb", "Nd", "Tb", "Nd", "Er", "Nd", "Er", "Er", "Tb", "Er", "Nd", "Tb", "Er"],
  "fractional_positions": [[0.614, 0.859, 0.248], [0.475, 0.725, 0.450], [0.525, 0.275, 0.550], [0.133, 0.389, 0.248], [0.017, 0.779, 0.247], [0.020, 0.770, 0.540], [0.770, 0.020, 0.041], [0.230, 0.980, 0.959], [0.224, 0.986, 0.257], [0.271, 0.532, 0.753], [0.532, 0.271, 0.257], [0.386, 0.141, 0.752], [0.776, 0.014, 0.743], [0.724, 0.474, 0.949], [0.867, 0.611, 0.752], [0.729, 0.468, 0.247], [0.980, 0.230, 0.460], [0.468, 0.729, 0.743], [0.983, 0.221, 0.753], [0.276, 0.526, 0.051]],
  "dos_at_fermi_per_ev_atom": 1.775,
  "e_form_ev_per_atom": 0.193,
  "de_polymorph_ev_per_fu": 0.000
}

{
  "formula": "Tb2NdEr7",
  "functional": "PBE-GGA",
  "state": "optimized geometry",
  "cell": [[-2.449, 2.936, -3.941], [5.236, -4.175, -6.364], [-8.236, -3.114, 2.798]],
  "species": ["Er", "Nd", "Er", "Er", "Er", "Tb", "Er", "Er", "Tb", "Er"],
  "fractional_positions": [[0.500, 0.063, 0.290], [0.000, 0.000, 0.000], [0.500, 0.710, 0.937], [0.500, 0.290, 0.063], [0.000, 0.210, 0.790], [0.500, 0.297, 0.703], [0.500, 0.937, 0.710], [0.000, 0.790, 0.210], [0.500, 0.703, 0.297], [0.500, 0.500, 0.500]],
  "dos_at_fermi_per_ev_atom": 1.529,
  "e_form_ev_per_atom": 0.708,
  "de_polymorph_ev_per_fu": 3.917
}

{
  "formula": "Tb4NdEr15",
  "functional": "PBE-GGA",
  "state": "optimized geometry",
  "cell": [[4.985, 0.000, 0.000], [0.000, 4.985, 0.000], [0.000, 0.000, 24.905]],
  "species": ["Er", "Er", "Tb", "Tb", "Er", "Er", "Er", "Nd", "Er", "Er", "Er", "Er", "Tb", "Er", "Er", "Er", "Er", "Tb", "Er", "Er"],
  "fractional_positions": [[0.500, 0.500, 0.600], [0.000, 0.500, 0.101], [0.000, 0.000, 0.400], [0.000, 0.000, 0.799], [0.500, 0.500, 0.000], [0.000, 0.500, 0.500], [0.500, 0.500, 0.201], [0.000, 0.000, 0.000], [0.500, 0.000, 0.500], [0.000, 0.500, 0.300], [0.500, 0.000, 0.700], [0.500, 0.500, 0.400], [0.000, 0.000, 0.600], [0.500, 0.000, 0.101], [0.500, 0.000, 0.899], [0.500, 0.500, 0.799], [0.000, 0.500, 0.899], [0.000, 0.000, 0.201], [0.500, 0.000, 0.300], [0.000, 0.500, 0.700]],
  "dos_at_fermi_per_ev_atom": 1.314,
  "e_form_ev_per_atom": 0.022
}

{
  "formula": "Tb6NdEr12",
  "functional": "PBE-GGA",
  "state": "optimized geometry",
  "cell": [[-0.352, -5.194, -7.603], [8.137, -1.634, 4.004], [-6.499, -3.155, 5.721]],
  "species": ["Tb", "Er", "Tb", "Er", "Er", "Er", "Er", "Tb", "Tb", "Er", "Er", "Er", "Er", "Er", "Tb", "Tb", "Er", "Nd", "Er"],
  "fractional_positions": [[0.282, 0.687, 0.687], [0.884, 0.654, 0.654], [0.313, 0.313, 0.718], [0.500, 0.112, 0.888], [0.654, 0.884, 0.654], [0.888, 0.500, 0.112], [0.346, 0.116, 0.346], [0.687, 0.687, 0.282], [0.687, 0.282, 0.687], [0.346, 0.346, 0.116], [0.112, 0.888, 0.500], [0.116, 0.346, 0.346], [0.112, 0.500, 0.888], [0.888, 0.112, 0.500], [0.718, 0.313, 0.313], [0.313, 0.718, 0.313], [0.500, 0.888, 0.112], [0.000, 0.000, 0.000], [0.654, 0.654, 0.884]],
  "dos_at_fermi_per_ev_atom": 1.612,
  "e_form_ev_per_atom": 0.448,
  "de_polymorph_ev_per_fu": 5.478
}

{
  "formula": "Tb6Nd7Er16",
  "functional": "PBE-GGA",
  "state": "optimized geometry",
  "cell": [[9.695, 0.000, 5.597], [3.232, 9.140, 5.597], [0.000, 0.000, 11.195]],
  "species": ["Tb", "Er", "Er", "Er", "Tb", "Er", "Er", "Er", "Nd", "Tb", "Nd", "Tb", "Nd", "Er", "Tb", "Nd", "Er", "Nd", "Er", "Nd", "Er", "Tb", "Nd", "Er", "Er", "Er", "Er", "Er", "Er"],
  "fractional_positions": [[0.254, 0.746, 0.746], [0.130, 0.609, 0.130], [0.130, 0.130, 0.130], [0.352, 0.352, 0.945], [0.746, 0.746, 0.254], [0.352, 0.352, 0.352], [0.391, 0.870, 0.870], [0.870, 0.870, 0.391], [0.000, 0.000, 0.000], [0.254, 0.746, 0.254], [0.500, 0.000, 0.000], [0.746, 0.254, 0.254], [0.000, 0.500, 0.000], [0.648, 0.055, 0.648], [0.746, 0.254, 0.746], [0.500, 0.500, 0.000], [0.055, 0.648, 0.648], [0.500, 0.000, 0.500], [0.870, 0.391, 0.870], [0.000, 0.500, 0.500], [0.945, 0.352, 0.352], [0.254, 0.254, 0.746], [0.000, 0.000, 0.500], [0.130, 0.130, 0.609], [0.609, 0.130, 0.130], [0.648, 0.648, 0.055], [0.648, 0.648, 0.648], [0.870, 0.870, 0.870], [0.352, 0.945, 0.352]],
  "dos_at_fermi_per_ev_atom": 1.712,
  "e_form_ev_per_atom": 0.255
}

{
  "formula": "Tb3NdEr",
  "functional": "PBE-GGA",
  "state": "optimized geometry",
  "cell": [[9.505, 0.000, -1.379], [0.000, 5.718, 0.000], [-1.175, 0.000, 6.170]],
  "species": ["Tb", "Tb", "Er", "Tb", "Tb", "Nd", "Tb", "Tb", "Nd", "Er"],
  "fractional_positions": [[0.402, 0.950, 0.366], [0.798, 0.450, 0.232], [0.402, 0.450, 0.034], [0.999, 0.950, 0.165], [0.001, 0.450, 0.835], [0.201, 0.450, 0.432], [0.202, 0.950, 0.768], [0.598, 0.450, 0.634], [0.799, 0.950, 0.568], [0.598, 0.950, 0.966]],
  "dos_at_fermi_per_ev_atom": 1.925,
  "e_form_ev_per_atom": 0.016,
  "de_polymorph_ev_per_fu": 0.000
}

{
  "formula": "Tb2Nd7Er3",
  "functional": "PBE-GGA",
  "state": "optimized geometry",
  "cell": [[-2.079, 1.085, 2.687], [-5.135, -0.098, -3.933], [-6.751, -16.738, 1.537]],
  "species": ["Nd", "Er", "Er", "Nd", "Nd", "Tb", "Nd", "Tb", "Er", "Nd", "Nd", "Nd"],
  "fractional_positions": [[0.500, 0.053, 0.172], [0.000, 0.885, 0.659], [0.000, 0.115, 0.341], [0.000, 0.556, 0.166], [0.000, 0.000, 0.000], [0.500, 0.611, 0.330], [0.500, 0.947, 0.828], [0.500, 0.389, 0.670], [0.500, 0.500, 0.000], [0.500, 0.237, 0.506], [0.000, 0.444, 0.834], [0.500, 0.763, 0.494]],
  "dos_at_fermi_per_ev_atom": 1.460,
  "e_form_ev_per_atom": 0.069,
  "de_polymorph_ev_per_fu": 0.000
}

{
  "formula": "Tb2Nd5Er5",
  "functional": "PBE-GGA",
  "state": "optimized geometry",
  "cell": [[4.950, 0.000, 1.058], [2.184, 7.480, 1.890], [0.288, 0.619, 10.761]],
  "species": ["Tb", "Nd", "Er", "Nd", "Er", "Nd", "Tb", "Nd", "Er", "Nd", "Er", "Er"],
  "fractional_positions": [[0.083, 0.582, 0.252], [0.334, 0.332, 0.999], [0.000, 0.000, 0.000], [0.666, 0.668, 0.001], [0.251, 0.750, 0.747], [0.585, 0.081, 0.749], [0.917, 0.418, 0.748], [0.500, 0.500, 0.500], [0.749, 0.250, 0.253], [0.415, 0.919, 0.251], [0.832, 0.835, 0.501], [0.168, 0.165, 0.499]],
  "dos_at_fermi_per_ev_atom": 1.454,
  "e_form_ev_per_atom": 0.020
}

{
  "formula": "Tb4Nd5Er",
  "functional": "PBE-GGA",
  "state": "optimized geometry",
  "cell": [[3.610, 0.000, 0.000], [0.000, 10.416, 1.408], [-1.805, -0.259, 9.142]],
  "species": ["Nd", "Tb", "Nd", "Nd", "Nd", "Er", "Tb", "Tb", "Nd", "Tb"],
  "fractional_positions": [[0.858, 0.229, 0.716], [0.318, 0.913, 0.636], [0.189, 0.402, 0.379], [0.811, 0.598, 0.621], [0.500, 0.500, 0.000], [0.500, 0.000, 0.000], [0.045, 0.237, 0.090], [0.682, 0.087, 0.364], [0.142, 0.771, 0.284], [0.955, 0.763, 0.910]],
  "dos_at_fermi_per_ev_atom": 1.486,
  "e_form_ev_per_atom": 0.142,
  "de_polymorph_ev_per_fu": 1.264
}

{
  "formula": "TbNd3Er12",
  "functional": "PBE-GGA",
  "state": "optimized geometry",
  "cell": [[5.007, 0.000, 0.000], [0.000, 5.007, 0.000], [0.000, 0.000, 20.045]],
  "species": ["Er", "Er", "Nd", "Er", "Er", "Tb", "Er", "Er", "Nd", "Er", "Er", "Er", "Nd", "Er", "Er", "Er"],
  "fractional_positions": [[0.500, 0.000, 0.375], [0.500, 0.500, 0.751], [0.000, 0.000, 0.500], [0.000, 0.500, 0.124], [0.000, 0.500, 0.375], [0.000, 0.000, 0.000], [0.500, 0.000, 0.124], [0.000, 0.500, 0.876], [0.000, 0.000, 0.751], [0.500, 0.000, 0.876], [0.500, 0.000, 0.625], [0.500, 0.500, 0.500], [0.000, 0.000, 0.249], [0.500, 0.500, 0.249], [0.500, 0.500, 0.000], [0.000, 0.500, 0.625]],
  "dos_at_fermi_per_ev_atom": 1.381,
  "e_form_ev_per_atom": 0.024
}

{
  "formula": "TbNd3Er3",
  "functional": "PBE-GGA",
  "state": "optimized geometry",
  "cell": [[5.911, 0.000, 1.900], [2.650, 5.284, 1.900], [-1.485, -0.917, 14.770]],
  "species": ["Er", "Tb", "Nd", "Er", "Nd", "Er", "Nd", "Nd", "Er", "Nd", "Er", "Tb", "Er", "Nd"],
  "fractional_positions": [[0.065, 0.731, 0.806], [0.333, 0.333, 0.000], [0.200, 0.869, 0.392], [0.731, 0.398, 0.806], [0.869, 0.539, 0.392], [0.398, 0.065, 0.806], [0.800, 0.131, 0.608], [0.539, 0.200, 0.392], [0.935, 0.269, 0.194], [0.461, 0.800, 0.608], [0.602, 0.935, 0.194], [0.667, 0.667, 0.000], [0.269, 0.602, 0.194], [0.131, 0.461, 0.608]],
  "dos_at_fermi_per_ev_atom": 1.605,
  "e_form_ev_per_atom": 0.170,
  "de_polymorph_ev_per_fu": 1.045
}

{
  "formula": "Tb6Nd8Er",
  "functional": "PBE-GGA",
  "state": "optimized geometry",
  "cell": [[9.876, 0.000, 0.000], [4.938, 8.553, 0.000], [4.938, 2.851, 6.001]],
  "species": ["Tb", "Nd", "Nd", "Tb", "Nd", "Nd", "Nd", "Tb", "Tb", "Er", "Nd", "Tb", "Nd", "Nd", "Tb"],
  "fractional_positions": [[0.284, 0.610, 0.030], [0.931, 0.355, 0.488], [0.226, 0.931, 0.488], [0.390, 0.924, 0.970], [0.774, 0.069, 0.512], [0.645, 0.774, 0.512], [0.587, 0.587, 0.240], [0.610, 0.076, 0.030], [0.716, 0.390, 0.970], [0.000, 0.000, 0.000], [0.355, 0.226, 0.488], [0.076, 0.284, 0.030], [0.413, 0.413, 0.760], [0.069, 0.645, 0.512], [0.924, 0.716, 0.970]],
  "dos_at_fermi_per_ev_atom": 1.504,
  "e_form_ev_per_atom": 0.166,
  "de_polymorph_ev_per_fu": 0.000
}

{
  "formula": "Tb4Nd19Er6",
  "functional": "PBE-GGA",
  "state": "optimized geometry",
  "cell": [[-6.362, -3.001, 8.452], [3.494, -8.966, -5.322], [8.660, 5.642, 3.754]],
  "species": ["Nd", "Nd", "Nd", "Er", "Er", "Er", "Nd", "Er", "Er", "Nd", "Nd", "Nd", "Nd", "Nd", "Tb", "Nd", "Tb", "Er", "Nd", "Tb", "Tb", "Nd", "Nd", "Nd", "Nd", "Nd", "Nd", "Nd", "Nd"],
  "fractional_positions": [[0.675, 0.657, 0.456], [0.000, 0.261, 0.261], [0.739, 0.739, 0.000], [0.124, 0.624, 0.500], [0.376, 0.500, 0.876], [0.500, 0.124, 0.624], [0.000, 0.739, 0.739], [0.500, 0.876, 0.376], [0.876, 0.376, 0.500], [0.544, 0.201, 0.219], [0.219, 0.544, 0.201], [0.000, 0.000, 0.000], [0.982, 0.325, 0.781], [0.325, 0.781, 0.982], [0.361, 0.361, 0.361], [0.201, 0.219, 0.544], [0.639, 0.000, 0.000], [0.624, 0.500, 0.124], [0.799, 0.343, 0.018], [0.000, 0.000, 0.639], [0.000, 0.639, 0.000], [0.657, 0.456, 0.675], [0.739, 0.000, 0.739], [0.261, 0.000, 0.261], [0.261, 0.261, 0.000], [0.343, 0.018, 0.799], [0.456, 0.675, 0.657], [0.781, 0.982, 0.325], [0.018, 0.799, 0.343]],
  "dos_at_fermi_per_ev_atom": 1.462,
  "e_form_ev_per_atom": 0.365
}

{
  "formula": "Tb3Nd8Er3",
  "functional": "PBE-GGA",
  "state": "optimized geometry",
  "cell": [[-3.926, 4.077, -0.596], [-8.494, -3.765, 3.064], [1.835, 6.735, 6.854]],
  "species": ["Nd", "Nd", "Nd", "Tb", "Nd", "Nd", "Er", "Er", "Tb", "Nd", "Nd", "Tb", "Nd", "Er"],
  "fractional_positions": [[0.658, 0.566, 0.118], [0.658, 0.118, 0.566], [0.342, 0.882, 0.434], [0.000, 0.179, 0.821], [0.163, 0.233, 0.441], [0.837, 0.559, 0.767], [0.199, 0.801, 0.801], [0.500, 0.500, 0.500], [0.500, 0.000, 0.000], [0.163, 0.441, 0.233], [0.837, 0.767, 0.559], [0.000, 0.821, 0.179], [0.342, 0.434, 0.882], [0.801, 0.199, 0.199]],
  "dos_at_fermi_per_ev_atom": 1.352,
  "e_form_ev_per_atom": 0.106
}

{
  "formula": "TbNdEr3",
  "functional": "PBE-GGA",
  "state": "optimized geometry",
  "cell": [[-0.556, -0.191, 3.546], [1.828, -8.183, -1.972], [11.159, 2.044, 1.861]],
  "species": ["Er", "Er", "Tb", "Nd", "Er", "Er", "Er", "Tb", "Nd", "Er"],
  "fractional_positions": [[0.160, 0.819, 0.001], [0.840, 0.181, 0.501], [0.310, 0.120, 0.250], [0.015, 0.531, 0.750], [0.160, 0.819, 0.499], [0.840, 0.181, 0.999], [0.651, 0.802, 0.250], [0.690, 0.880, 0.750], [0.985, 0.469, 0.250], [0.349, 0.198, 0.750]],
  "dos_at_fermi_per_ev_atom": 1.519,
  "e_form_ev_per_atom": 0.299,
  "de_polymorph_ev_per_fu": 1.436
}

{
  "formula": "Tb8Nd3Er4",
  "functional": "PBE-GGA",
  "state": "optimized geometry",
  "cell": [[6.747, -0.096, -0.137], [-3.240, 8.611, 1.207], [-3.240, -1.857, 8.494]],
  "species": ["Tb", "Tb", "Nd", "Tb", "Er", "Tb", "Nd", "Tb", "Tb", "Er", "Nd", "Er", "Tb", "Er", "Tb"],
  "fractional_positions": [[0.500, 0.251, 0.749], [0.979, 0.747, 0.747], [0.500, 0.000, 0.500], [0.000, 0.644, 0.356], [0.000, 0.000, 0.500], [0.000, 0.356, 0.644], [0.500, 0.500, 0.000], [0.563, 0.273, 0.273], [0.500, 0.749, 0.251], [0.000, 0.500, 0.000], [0.500, 0.500, 0.500], [0.000, 0.000, 0.000], [0.437, 0.727, 0.727], [0.500, 0.000, 0.000], [0.021, 0.253, 0.253]],
  "dos_at_fermi_per_ev_atom": 1.831,
  "e_form_ev_per_atom": 0.391
}

{
  "formula": "TbNd4Er10",
  "functional": "PBE-GGA",
  "state": "optimized geometry",
  "cell": [[7.236, 0.000, 3.268], [3.618, 7.940, 1.634], [0.351, 0.000, 8.870]],
  "species": ["Er", "Tb", "Nd", "Nd", "Er", "Nd", "Er", "Er", "Er", "Nd", "Er", "Er", "Er", "Er", "Er"],
  "fractional_positions": [[0.706, 0.208, 0.792], [0.000, 0.000, 0.000], [0.772, 0.000, 0.455], [0.773, 0.455, 0.000], [0.294, 0.208, 0.792], [0.227, 0.545, 0.000], [0.502, 0.792, 0.792], [0.706, 0.792, 0.208], [0.250, 0.500, 0.500], [0.228, 0.000, 0.545], [0.914, 0.792, 0.792], [0.086, 0.208, 0.208], [0.498, 0.208, 0.208], [0.294, 0.792, 0.208], [0.750, 0.500, 0.500]],
  "dos_at_fermi_per_ev_atom": 1.373,
  "e_form_ev_per_atom": 0.273
}